First-principles (PBE with a Hubbard U) data for an optimized crystal structure of PmVAgO4, as listed in Alexandria.

The crystal system is monoclinic. The calculation puts the total energy at -98.0 eV for the cell shown.

The space group is P2_1/m (No. 11) and the conventional cell measures 6.1697, 6.2735 and 6.8502 Å, with angles of 90.00, 108.19 and 90.00 degrees. The asymmetric unit holds Pm at (0.1888, 0.2500, 0.0435), V at (0.2599, 0.7500, 0.8142), Ag at (0.4649, 0.7500, 0.3695), O at (0.0632, 0.5356, 0.8229), O at (0.4707, 0.7500, 0.6767) and O at (0.4802, 0.7500, 0.0681).


First-principles (PBE with a Hubbard U) data for an optimized crystal structure of PmV2AgO6, as listed in Alexandria.

The crystal system is monoclinic. The calculation puts the total energy at -291.2 eV for the cell shown.

The space group is C2/c (No. 15) and the conventional cell measures 9.4670, 10.8453 and 6.4949 Å, with angles of 90.00, 116.85 and 90.00 degrees. The asymmetric unit holds Pm at (0.0000, 0.0886, 0.2500), V at (0.1343, 0.4202, 0.1869), Ag at (0.0000, 0.2289, 0.7500), O at (0.1073, 0.4580, 0.4556), O at (0.1156, 0.2620, 0.1305) and O at (0.1436, 0.0536, 0.6534).


First-principles (PBE with a Hubbard U) data for an optimized crystal structure of PmVAgO5, as listed in Alexandria.

The crystal system is monoclinic. The calculation puts the total energy at -218.8 eV for the cell shown.

The space group is C2/c (No. 15) and the conventional cell measures 6.6691, 10.0785 and 8.4414 Å, with angles of 90.00, 112.25 and 90.00 degrees. The asymmetric unit holds Pm at (0.0000, 0.0000, 0.0000), V at (0.0000, 0.3003, 0.2500), Ag at (0.0000, 0.3023, 0.7500), O at (0.0000, 0.0925, 0.7500), O at (0.1572, 0.1910, 0.1733) and O at (0.1570, 0.3994, 0.4143).


First-principles (PBE with a Hubbard U) data for an optimized crystal structure of PmAgW2O8, as listed in Alexandria.

The crystal system is trigonal. The calculation puts the total energy at -85.9 eV for the cell shown.

The space group is P-3m1 (No. 164) and the conventional cell measures 6.1584, 6.1584 and 6.7689 Å, with angles of 90.00, 90.00 and 120.00 degrees. The asymmetric unit holds Pm at (0.0000, 0.0000, 0.0000), Ag at (0.0000, 0.0000, 0.5000), W at (0.3333, 0.6667, 0.3050), O at (0.1701, 0.3402, 0.2181) and O at (0.3333, 0.6667, 0.5658).


First-principles (PBE with a Hubbard U) data for an optimized crystal structure of PmAgWO5, as listed in Alexandria.

The crystal system is monoclinic. The calculation puts the total energy at -222.8 eV for the cell shown.

The space group is C2/c (No. 15) and the conventional cell measures 8.9446, 9.2515 and 8.7406 Å, with angles of 90.00, 119.35 and 90.00 degrees. The asymmetric unit holds Pm at (0.0000, 0.0000, 0.0000), Ag at (0.0000, 0.2971, 0.2500), W at (0.0000, 0.3650, 0.7500), O at (0.0000, 0.0683, 0.2500), O at (0.0012, 0.2503, 0.5830) and O at (0.1900, 0.4807, 0.8469).